VASP calculation (PBE) on a relaxed Ac6CoHg2Pt crystal.

Cell: 7.6729 8.2359 13.5990 Å, 90.00 123.89 90.00°
With the nearest neighbours (Å) after each atom.
Element x y z (fractional)
Ac1 0.1211 0.0221 0.2440  1 Co 2.91, 1 Pt 3.05
Ac2 0.1211 0.4779 0.7440  1 Co 2.91, 1 Pt 3.05
Ac3 0.2315 0.6960 0.0576  1 Co 2.91, 1 Pt 3.04
Ac4 0.2315 0.8040 0.5576  1 Co 2.91, 1 Pt 3.04
Ac5 0.3686 0.1816 0.0578  1 Co 2.89, 1 Pt 3.06
Ac6 0.3686 0.3184 0.5578  1 Co 2.89, 1 Pt 3.06
Ac7 0.6314 0.6816 0.4422  1 Co 2.89, 1 Pt 3.06
Ac8 0.6314 0.8184 0.9422  1 Co 2.89, 1 Pt 3.06
Ac9 0.7685 0.1960 0.4424  1 Co 2.91, 1 Pt 3.04
Ac10 0.7685 0.3040 0.9424  1 Co 2.91, 1 Pt 3.04
Ac11 0.8789 0.5221 0.2560  1 Co 2.91, 1 Pt 3.05
Ac12 0.8789 0.9779 0.7560  1 Co 2.91, 1 Pt 3.05
Co1 0.0000 0.0000 0.0000  6 Ac 2.89-2.91
Co2 0.0000 0.5000 0.5000  6 Ac 2.89-2.91
Hg1 0.2909 0.0988 0.7495  6 Ac 3.36-3.53
Hg2 0.2909 0.4012 0.2495  6 Ac 3.36-3.53
Hg3 0.7091 0.5988 0.7505  6 Ac 3.36-3.53
Hg4 0.7091 0.9012 0.2505  6 Ac 3.36-3.53
Pt1 0.5000 0.0000 0.5000  6 Ac 3.04-3.06
Pt2 0.5000 0.5000 0.0000  6 Ac 3.04-3.06

Results
**Calculated density**: 9.4 Mg/m³
**ΔH_f (0 K)**: -0.4293 eV per atom
**Final energy**: -4.269 eV per atom
**Magnetization**: 0.0 μB per formula unit
**Fermi-level density of states**: 0.9263 states/eV/atom